(1)
Fe2SiAu | Alexandria | PBE | optimized geometry; formation energy without anion corrections = 0.276 eV per formula unit; total DFT energy (no corrections) = -25.35 eV per cell; total magnetic moment = 4.535 μB per formula unit
1.0
-2.599 -0.875 3.903
-3.263 -3.421 -0.637
4.708 0.598 -0.482
Si Au Fe
1 1 2
Direct
0.508 0.508 0.000
0.270 0.770 0.500
0.001 0.001 0.000
0.722 0.222 0.500

***

(2)
FeSiAu2 | Alexandria | PBE | optimized geometry; formation energy without anion corrections = 0.199 eV per formula unit; total DFT energy (no corrections) = -20.24 eV per cell; total magnetic moment = 0.165 μB per formula unit
1.0
2.927 0.000 0.000
0.000 2.927 0.000
0.000 0.000 6.918
Fe Si Au
1 1 2
Direct
0.000 0.000 0.556
0.500 0.500 0.698
0.000 0.000 0.967
0.500 0.500 0.279

***

(3)
FeSiAu2 | Alexandria | PBE | optimized geometry; formation energy without anion corrections = 1.016 eV per formula unit; total DFT energy (no corrections) = -19.42 eV per cell; total magnetic moment = 3.014 μB per formula unit
1.0
-5.892 6.008 2.839
-7.695 3.763 2.342
-6.272 3.957 4.886
Au Fe Si
2 1 1
Direct
0.000 0.000 0.000
0.500 0.500 0.500
0.250 0.250 0.250
0.750 0.750 0.750

***

(4)
VFeSiAu2 | Alexandria | PBE | optimized geometry; formation energy without anion corrections = 4.487 eV per formula unit; total DFT energy (no corrections) = -25.07 eV per cell; total magnetic moment = 1.753 μB per formula unit
1.0
4.856 0.000 0.000
0.000 4.046 0.000
0.000 0.000 4.856
Si Au V Fe
1 2 1 1
Direct
0.500 0.500 0.500
0.000 0.000 0.500
0.500 0.000 0.000
0.000 0.500 0.000
0.000 0.000 0.000

***

(5)
ZnFe2SiAu | Alexandria | PBE | optimized geometry; formation energy without anion corrections = 5.621 eV per formula unit; total DFT energy (no corrections) = -21.28 eV per cell; total magnetic moment = 6.497 μB per formula unit
1.0
4.905 0.000 0.000
0.000 4.515 0.000
0.000 0.000 4.905
Au Fe Si Zn
1 2 1 1
Direct
0.000 0.000 0.000
0.000 0.000 0.500
0.500 0.000 0.000
0.000 0.500 0.000
0.500 0.500 0.500

***

(6)
Sm2FeAu | Alexandria | PBE | optimized geometry; ΔH_f (0 K) = -26.6 kJ/mol of atoms; total DFT energy (no corrections) = -22.28 eV per cell; total magnetic moment = 1.410 μB per formula unit
1.0
3.553 0.000 0.000
0.000 3.553 0.000
0.000 0.000 7.251
Fe Sm Au
1 2 1
Direct
0.500 0.500 0.000
0.000 0.000 0.766
0.000 0.000 0.234
0.500 0.500 0.500

***

(7)
FeSnAu | Alexandria | PBE | optimized geometry; ΔH_f (0 K) = 7.0 kJ/mol of atoms; total DFT energy (no corrections) = -31.05 eV per cell; total magnetic moment = 2.802 μB per formula unit
1.0
-1.913 1.461 1.984
-1.359 -2.720 0.694
9.636 -1.079 7.633
Au Fe Sn
2 2 2
Direct
0.842 0.842 0.684
0.158 0.158 0.316
0.274 0.274 0.549
0.726 0.726 0.451
0.570 0.570 0.141
0.430 0.430 0.859

***

(8)
FeSn2Au | Alexandria | PBE | optimized geometry; E above lowest polymorph = 176.0 meV/atom; ΔH_f (0 K) = 42.3 kJ/mol of atoms; total DFT energy (no corrections) = -17.99 eV per cell; total magnetic moment = 0.000 μB per formula unit
1.0
2.738 -1.942 3.328
-1.861 -3.018 3.126
1.085 -4.595 -0.217
Au Sn Fe
1 2 1
Direct
0.500 0.500 0.500
0.250 0.250 0.250
0.750 0.750 0.750
0.000 0.000 0.000

***

(9)
Fe2SnAu2 | Alexandria | PBE | optimized geometry; ΔH_f (0 K) = 18.1 kJ/mol of atoms; total DFT energy (no corrections) = -53.09 eV per cell; total magnetic moment = 4.977 μB per formula unit
1.0
-1.417 6.424 1.134
-3.264 0.306 -5.814
-3.249 -1.029 1.770
Au Sn Fe
4 2 4
Direct
0.338 0.162 0.500
0.662 0.838 0.500
0.162 0.662 0.500
0.838 0.338 0.500
0.500 0.500 0.000
0.000 0.000 0.000
0.376 0.876 0.000
0.876 0.624 0.000
0.124 0.376 0.000
0.624 0.124 0.000

***

(10)
FeSn2Au | Alexandria | PBE | optimized geometry; E above lowest polymorph = 0.0 meV/atom; ΔH_f (0 K) = 25.3 kJ/mol of atoms; total DFT energy (no corrections) = -37.40 eV per cell; total magnetic moment = 2.546 μB per formula unit
1.0
4.430 0.000 0.000
0.000 4.430 0.000
2.215 2.215 8.921
Sn Fe Au
4 2 2
Direct
0.144 0.625 0.250
0.606 0.125 0.250
0.875 0.856 0.750
0.375 0.394 0.750
0.250 0.750 0.500
0.500 0.500 0.000
0.000 0.000 0.000
0.750 0.250 0.500

***

(11)
Fe3SnAu | Alexandria | PBE | optimized geometry; E above lowest polymorph = 0.0 meV/atom; ΔH_f (0 K) = 107.0 kJ/mol of atoms; total DFT energy (no corrections) = -27.12 eV per cell; total magnetic moment = 9.373 μB per formula unit
1.0
-4.276 -1.259 -1.693
1.801 -4.171 -1.448
-1.099 -1.938 4.216
Fe Au Sn
3 1 1
Direct
0.000 0.000 0.500
0.000 0.500 0.000
0.500 0.000 0.000
0.000 0.000 0.000
0.500 0.500 0.500

***

(12)
FeSnAu2 | Alexandria | PBE | optimized geometry; ΔH_f (0 K) = 24.4 kJ/mol of atoms; total DFT energy (no corrections) = -36.02 eV per cell; total magnetic moment = 2.825 μB per formula unit
1.0
3.936 0.000 0.000
0.000 3.936 0.000
1.968 1.968 9.940
Au Sn Fe
4 2 2
Direct
0.875 0.868 0.750
0.618 0.125 0.250
0.375 0.382 0.750
0.132 0.625 0.250
0.750 0.250 0.500
0.000 0.000 0.000
0.250 0.750 0.500
0.500 0.500 0.000